Entry 1:
ScNi5P2: relaxed, PBE.

Summary:
Theoretical density (g/cm³): 6.7
Energy of formation (meV per atom): -687
Raw total energy (eV/atom): -6.444

```
ScNi5P2
1.0
0.0088 -2.0893 2.9194
-3.8936 -4.0551 -0.6831
2.4894 -4.9134 -1.3164
Sc Ni P
1 5 2
Direct
0.0000 0.0000 0.0000
0.0000 0.5000 0.5000
0.6508 0.5404 0.1580
0.3492 0.4596 0.8420
0.3492 0.8420 0.4596
0.6508 0.1580 0.5404
0.7463 0.7537 0.7537
0.2537 0.2463 0.2463
```



Entry 2:
ScNi6P4: relaxed, PBE.

Summary:
Theoretical density (g/cm³): 6.5
Energy of formation (meV per atom): -683
Raw total energy (eV/atom): -6.379

```
ScNi6P4
1.0
-2.2599 -1.9283 1.8924
2.2623 -5.4839 -2.8861
2.7888 2.1910 5.5627
Sc Ni P
1 6 4
Direct
0.0000 0.0000 0.0000
0.0000 0.5363 0.0727
0.5000 0.5997 0.7998
0.0000 0.5363 0.4637
0.0000 0.9273 0.4637
0.5000 0.2002 0.7998
0.5000 0.2002 0.4003
0.5000 0.8151 0.6302
0.5000 0.3698 0.1849
0.5000 0.8151 0.1849
0.0000 0.3333 0.6667
```



Entry 3:
Sc3Ni4P4: relaxed, PBE.

Summary:
Theoretical density (g/cm³): 5.5
Energy of formation (meV per atom): -1093
Raw total energy (eV/atom): -6.889

```
Sc3Ni4P4
1.0
3.6615 0.0000 -0.9108
-0.7722 5.4968 -3.1043
-0.1480 0.3775 7.2200
Sc Ni P
3 4 4
Direct
0.1250 0.1250 0.2500
0.8750 0.8750 0.7500
0.0000 0.5000 0.0000
0.3267 0.1290 0.6533
0.6733 0.4757 0.3467
0.6733 0.8710 0.3467
0.3267 0.5243 0.6533
0.2176 0.7176 0.4351
0.7824 0.2824 0.5649
0.5000 0.8032 0.0000
0.5000 0.1968 0.0000
```



Entry 4:
ScNi3P: relaxed, PBE.

Summary:
Theoretical density (g/cm³): 5.9
Energy of formation (meV per atom): -498
Distance to the lowest polymorph of the same formula (eV per formula unit): 0.00
Raw total energy (eV/atom): -6.315

```
ScNi3P
1.0
-3.6378 2.5507 2.6962
-4.5760 -3.4908 -2.8716
4.3739 -2.4450 3.2058
Sc Ni P
2 6 2
Direct
0.2500 0.3201 0.5000
0.7500 0.6799 0.5000
0.6723 0.1723 0.8446
0.1723 0.1723 0.8446
0.8277 0.8277 0.1554
0.3277 0.8277 0.1554
0.2500 0.7629 0.5000
0.7500 0.2371 0.5000
0.0000 0.5000 0.0000
0.5000 0.0000 0.0000
```